Crystalline TlPH2O4 at its relaxed geometry, computed with PBE-GGA.

Cell and atoms, written as extended XYZ:
```
32
Lattice="4.5926 0.0000 0.0000 0.0000 6.5372 0.0136 0.0000 0.4379 14.7760" Properties=species:S:1:pos:R:3 pbc="T T T"
O 2.4258 5.5420 4.6013
O 3.8698 6.6199 13.6611
O 3.0490 0.2935 1.1383
Tl 1.1495 2.1987 12.7593
H 1.2180 5.3384 12.1135
O 4.1789 2.5770 0.7890
H 3.5387 3.1248 0.1517
H 1.0936 6.6556 7.2270
O 0.1299 1.2274 2.8103
O 2.1815 2.4757 10.0254
Tl 3.3851 5.1444 9.3778
O 4.4599 4.7204 12.1338
Tl 3.4430 1.9798 5.3713
H 3.4989 6.8746 14.6149
O 2.4111 2.2568 2.6374
P 3.3228 5.2956 12.9838
P 1.0678 1.7941 9.2171
H 1.0767 1.6773 2.6739
O 1.5436 0.5124 8.5263
O 1.8655 4.1244 6.6358
O 0.7228 6.4009 6.2731
O 0.4136 2.7960 8.1770
P 1.2697 5.0766 5.5959
H 3.3746 5.1195 4.7255
H 3.5159 1.8963 10.0619
P 3.5248 1.5751 1.8291
O 2.7270 4.3434 14.0238
O 2.1668 5.7610 11.9893
O 0.1326 4.5014 4.7458
Tl 1.2074 4.9254 1.9898
O 4.4626 1.4463 10.1983
H 1.0538 3.3438 7.5397
```

Computed properties:
Crystal system   monoclinic
D(E_F)   0.00 states/eV per atom
Space group   No. 7
Relative energy among the computed polymorphs   3 meV per atom

=====

Crystalline TlPHO2 at its relaxed geometry, computed with PBE-GGA.

Cell and atoms, written as extended XYZ:
```
5
Lattice="-1.8757 0.1464 -3.8889 -1.2295 -4.1182 0.4380 -2.6419 0.9280 1.3092" Properties=species:S:1:pos:R:3 pbc="T T T"
Tl -2.8735 -1.5219 -1.0709
O -0.9379 0.0732 -1.9444
P -1.3209 0.4640 0.6546
H 0.0000 0.0000 0.0000
O -0.6147 -2.0591 0.2190
```

Computed properties:
Crystal system   tetragonal
D(E_F)   0.36 states/eV per atom
Space group   No. 123
Relative energy among the computed polymorphs   823 meV per atom

=====

Crystalline TlPH2O at its relaxed geometry, computed with PBE-GGA.

Cell and atoms, written as extended XYZ:
```
5
Lattice="-1.2372 2.3524 2.3761 2.3286 -2.7549 3.9398 2.9604 1.9483 -0.3874" Properties=species:S:1:pos:R:3 pbc="T T T"
H -0.6186 1.1762 1.1881
P 2.0259 0.7729 2.9643
O 0.0000 0.0000 0.0000
Tl 1.1643 -1.3774 1.9699
H 1.4802 0.9742 -0.1937
```

Computed properties:
Crystal system   tetragonal
D(E_F)   0.37 states/eV per atom
Raw total energy   -15.40 eV for the cell shown
Space group   No. 123

=====

Among the records above, which one has the highest D(E_F)? TlPH2O

=====

Look up the D(E_F) of the third one. 0.37 states/eV per atom